No. 1
A plane-wave DFT calculation with GGA-PBE was carried out for an optimized crystal structure of SnPdSeO.

Calculated values
- uncorrected energy (eV per atom) = -4.999
- space group = No. 29
- relative energy among the computed polymorphs (eV/f.u.) = 0.167
- V (Å³/atom) = 17.7
- ρ (g/cm3) = 7.49

Cell and atoms, written as POSCAR:
```
SnPdSeO
1.0
-3.5805 -4.1270 -3.3580
6.0663 -2.4928 -3.4046
0.7175 -4.1136 4.2905
O Pd Se Sn
4 4 4 4
Direct
0.8852 0.0153 0.2048
0.3852 0.9847 0.2048
0.6148 0.0153 0.7048
0.1148 0.9847 0.7048
0.9970 0.3114 0.0160
0.4970 0.6886 0.0160
0.5030 0.3114 0.5160
0.0030 0.6886 0.5160
0.6308 0.3923 0.1278
0.1308 0.6077 0.1278
0.8692 0.3923 0.6278
0.3692 0.6077 0.6278
0.1298 0.1468 0.4013
0.6298 0.8532 0.4013
0.3702 0.1468 0.9013
0.8702 0.8532 0.9013
```

No. 2
A plane-wave DFT calculation with GGA-PBE was carried out for an optimized crystal structure of SnPdSeO.

Calculated values
- uncorrected energy (eV per atom) = -4.871
- space group = No. 129
- relative energy among the computed polymorphs (eV/f.u.) = 0.682
- V (Å³/atom) = 19.9
- ρ (g/cm3) = 6.69

Cell and atoms, written as POSCAR:
```
SnPdSeO
1.0
3.7799 0.0000 0.0000
0.0000 3.7799 0.0000
0.0000 0.0000 11.1240
O Pd Se Sn
2 2 2 2
Direct
0.2500 0.2500 0.4288
0.7500 0.7500 0.5712
0.7500 0.2500 0.0000
0.2500 0.7500 0.0000
0.2500 0.2500 0.1508
0.7500 0.7500 0.8492
0.7500 0.7500 0.3854
0.2500 0.2500 0.6146
```

No. 3
A plane-wave DFT calculation with GGA-PBE was carried out for an optimized crystal structure of SrPdSeO.

Calculated values
- uncorrected energy (eV per atom) = -5.132
- space group = No. 29
- relative energy among the computed polymorphs (eV/f.u.) = 0.154
- V (Å³/atom) = 20.7
- ρ (g/cm3) = 5.80

Cell and atoms, written as POSCAR:
```
SrPdSeO
1.0
-0.0416 5.7738 -4.0654
-7.3054 1.3667 2.0157
1.9234 3.3316 4.7119
O Pd Se Sr
4 4 4 4
Direct
0.0914 0.0959 0.0901
0.5914 0.9041 0.0901
0.4086 0.0959 0.5901
0.9086 0.9041 0.5901
0.9218 0.3087 0.0026
0.4218 0.6913 0.0026
0.5782 0.3087 0.5026
0.0782 0.6913 0.5026
0.6658 0.4773 0.1720
0.1658 0.5227 0.1720
0.8342 0.4773 0.6720
0.3342 0.5227 0.6720
0.0853 0.1552 0.4852
0.5853 0.8448 0.4852
0.4147 0.1552 0.9852
0.9147 0.8448 0.9852
```

No. 4
A plane-wave DFT calculation with GGA-PBE was carried out for an optimized crystal structure of SrPdSeO.

Calculated values
- uncorrected energy (eV per atom) = -5.095
- space group = No. 36
- relative energy among the computed polymorphs (eV/f.u.) = 0.301
- V (Å³/atom) = 20.0
- ρ (g/cm3) = 5.99

Cell and atoms, written as POSCAR:
```
SrPdSeO
1.0
5.6810 -2.3053 0.0000
5.6810 2.3053 0.0000
0.0000 0.0000 6.1178
O Pd Se Sr
2 2 2 2
Direct
0.8831 0.8831 0.0856
0.1169 0.1169 0.5856
0.9763 0.9763 0.3674
0.0237 0.0237 0.8674
0.3957 0.3957 0.4653
0.6043 0.6043 0.9653
0.6761 0.6761 0.4743
0.3239 0.3239 0.9743
```

No. 5
A plane-wave DFT calculation with GGA-PBE was carried out for an optimized crystal structure of SrPdSeO.

Calculated values
- uncorrected energy (eV per atom) = -4.945
- space group = No. 19
- relative energy among the computed polymorphs (eV/f.u.) = 0.902
- V (Å³/atom) = 22.1
- ρ (g/cm3) = 5.43

Cell and atoms, written as POSCAR:
```
SrPdSeO
1.0
-0.9262 3.9437 -6.0468
2.1306 -6.0812 -4.2925
-5.9752 -1.8759 -0.3082
O Pd Se Sr
4 4 4 4
Direct
0.0131 0.3768 0.0868
0.9869 0.8768 0.4132
0.4869 0.6232 0.5868
0.5131 0.1232 0.9132
0.6254 0.7331 0.0584
0.3746 0.2331 0.4416
0.8746 0.2669 0.5584
0.1254 0.7669 0.9416
0.8858 0.9146 0.1475
0.1142 0.4146 0.3525
0.6142 0.0854 0.6475
0.3858 0.5854 0.8525
0.6908 0.3237 0.1118
0.3092 0.8237 0.3882
0.8092 0.6763 0.6118
0.1908 0.1763 0.8882
```

No. 6
A plane-wave DFT calculation with GGA-PBE was carried out for an optimized crystal structure of SrPdSeO.

Calculated values
- uncorrected energy (eV per atom) = -4.891
- space group = No. 29
- relative energy among the computed polymorphs (eV/f.u.) = 1.117
- V (Å³/atom) = 22.1
- ρ (g/cm3) = 5.44

Cell and atoms, written as POSCAR:
```
SrPdSeO
1.0
6.2429 0.0000 0.0000
0.0000 9.0719 0.0000
0.0000 0.0000 6.2320
O Pd Se Sr
4 4 4 4
Direct
0.1031 0.0872 0.2034
0.6031 0.9128 0.2034
0.3969 0.0872 0.7034
0.8969 0.9128 0.7034
0.9856 0.0633 0.4931
0.4856 0.9367 0.4931
0.5144 0.0633 0.9931
0.0144 0.9367 0.9931
0.5199 0.3403 0.0301
0.0199 0.6597 0.0301
0.9801 0.3403 0.5301
0.4801 0.6597 0.5301
0.0158 0.3117 0.0234
0.5158 0.6883 0.0234
0.4842 0.3117 0.5234
0.9842 0.6883 0.5234
```

No. 7
A plane-wave DFT calculation with GGA-PBE was carried out for an optimized crystal structure of SrPdSeO.

Calculated values
- uncorrected energy (eV per atom) = -5.103
- space group = No. 19
- relative energy among the computed polymorphs (eV/f.u.) = 0.269
- V (Å³/atom) = 18.9
- ρ (g/cm3) = 6.36

Cell and atoms, written as POSCAR:
```
SrPdSeO
1.0
7.5571 0.0000 0.0000
0.0000 6.3352 0.0000
0.0000 0.0000 6.3079
O Pd Se Sr
4 4 4 4
Direct
0.5535 0.8848 0.2054
0.4465 0.3848 0.2946
0.9465 0.1152 0.7054
0.0535 0.6152 0.7946
0.4634 0.1684 0.0246
0.5366 0.6684 0.4754
0.0366 0.8316 0.5246
0.9634 0.3316 0.9754
0.0953 0.0563 0.1987
0.9047 0.5563 0.3013
0.4047 0.9437 0.6987
0.5953 0.4437 0.8013
0.2996 0.6614 0.0673
0.7004 0.1614 0.4327
0.2004 0.3386 0.5673
0.7996 0.8386 0.9327
```

No. 8
A plane-wave DFT calculation with GGA-PBE was carried out for an optimized crystal structure of SrPdSeO.

Calculated values
- uncorrected energy (eV per atom) = -4.087
- space group = No. 129
- relative energy among the computed polymorphs (eV/f.u.) = 4.335
- V (Å³/atom) = 23.5
- ρ (g/cm3) = 5.10

Cell and atoms, written as POSCAR:
```
SrPdSeO
1.0
4.9730 0.0000 0.0000
0.0000 4.9730 0.0000
0.0000 0.0000 7.6132
O Pd Se Sr
2 2 2 2
Direct
0.2500 0.2500 0.4930
0.7500 0.7500 0.5070
0.7500 0.7500 0.2334
0.2500 0.2500 0.7666
0.2500 0.2500 0.2663
0.7500 0.7500 0.7337
0.7500 0.2500 0.0000
0.2500 0.7500 0.0000
```

No. 9
A plane-wave DFT calculation with GGA-PBE was carried out for an optimized crystal structure of SrPdSeO.

Calculated values
- uncorrected energy (eV per atom) = -4.829
- space group = No. 129
- relative energy among the computed polymorphs (eV/f.u.) = 1.367
- V (Å³/atom) = 20.2
- ρ (g/cm3) = 5.93

Cell and atoms, written as POSCAR:
```
SrPdSeO
1.0
4.2442 0.0000 0.0000
0.0000 4.2442 0.0000
0.0000 0.0000 8.9914
O Pd Se Sr
2 2 2 2
Direct
0.7500 0.2500 0.5000
0.2500 0.7500 0.5000
0.2500 0.2500 0.4395
0.7500 0.7500 0.5605
0.2500 0.2500 0.1455
0.7500 0.7500 0.8545
0.7500 0.7500 0.2071
0.2500 0.2500 0.7929
```

No. 10
A plane-wave DFT calculation with GGA-PBE was carried out for an optimized crystal structure of SrPdSeO.

Calculated values
- uncorrected energy (eV per atom) = -5.122
- space group = No. 186
- relative energy among the computed polymorphs (eV/f.u.) = 0.194
- V (Å³/atom) = 21.0
- ρ (g/cm3) = 5.72

Cell and atoms, written as POSCAR:
```
SrPdSeO
1.0
-1.5158 -3.7210 -0.5078
3.7130 0.8768 -1.3589
4.5760 -3.2816 10.3862
O Pd Se Sr
2 2 2 2
Direct
0.0000 0.0000 0.3266
0.0000 0.0000 0.8266
0.0000 0.0000 0.0063
0.0000 0.0000 0.5063
0.6667 0.3333 0.0746
0.3333 0.6667 0.5746
0.3333 0.6667 0.2802
0.6667 0.3333 0.7802
```

No. 11
A plane-wave DFT calculation with GGA-PBE was carried out for an optimized crystal structure of SrPdSeO.

Calculated values
- uncorrected energy (eV per atom) = -5.170
- space group = No. 64
- relative energy among the computed polymorphs (eV/f.u.) = 0.000
- V (Å³/atom) = 20.0
- ρ (g/cm3) = 6.00

Cell and atoms, written as POSCAR:
```
SrPdSeO
1.0
6.9665 0.0000 0.0000
0.0000 13.1920 0.0000
0.0000 0.0000 6.9635
O Pd Se Sr
8 8 8 8
Direct
0.7668 0.2304 0.0000
0.2668 0.2696 0.0000
0.7332 0.7304 0.0000
0.2332 0.7696 0.0000
0.2668 0.2304 0.4999
0.2332 0.7304 0.4999
0.7668 0.2696 0.5001
0.7332 0.7696 0.5001
0.7532 0.0612 0.0003
0.7468 0.5612 0.0003
0.2532 0.0612 0.4997
0.2468 0.5612 0.4997
0.7532 0.4388 0.5003
0.7468 0.9388 0.5003
0.2532 0.4388 0.9997
0.2468 0.9388 0.9997
0.4997 0.0000 0.2462
0.0003 0.5001 0.2462
0.9997 0.0000 0.2538
0.5003 0.5001 0.2538
0.0003 0.0000 0.7462
0.4997 0.4999 0.7462
0.5003 0.0000 0.7538
0.9997 0.4999 0.7538
0.5165 0.2500 0.2495
0.9835 0.7500 0.2495
0.0165 0.2500 0.2505
0.4835 0.7500 0.2505
0.5165 0.2500 0.7495
0.9835 0.7500 0.7495
0.0165 0.2500 0.7505
0.4835 0.7500 0.7505
```

No. 12
A plane-wave DFT calculation with GGA-PBE was carried out for an optimized crystal structure of SrPdSeO.

Calculated values
- uncorrected energy (eV per atom) = -5.022
- space group = No. 129
- relative energy among the computed polymorphs (eV/f.u.) = 0.592
- V (Å³/atom) = 19.3
- ρ (g/cm3) = 6.22

Cell and atoms, written as POSCAR:
```
SrPdSeO
1.0
-1.6977 2.8241 2.2174
1.3015 -1.8020 3.2914
8.2433 5.2556 -0.3822
O Pd Se Sr
2 2 2 2
Direct
0.2500 0.2500 0.1072
0.7500 0.7500 0.8928
0.2500 0.2500 0.3280
0.7500 0.7500 0.6720
0.7500 0.2500 0.5000
0.2500 0.7500 0.5000
0.7500 0.7500 0.1336
0.2500 0.2500 0.8664
```